Ba2TlPPd6 | PBE | optimized geometry

Unit cell a=5.8632 b=9.1923 c=8.3864 alpha=90.00 beta=90.00 gamma=90.00
Closest atoms and distances in Å follow each position.
Space group Pmmn (No. 59, origin choice 2)
Inequivalent atoms, fractional coordinates:
Ba1 0.2500 0.0178 0.2202 [4 per cell]  5 Pd 3.15-3.29
Tl1 0.2500 0.7500 0.7908 [2 per cell]  6 Pd 2.75-2.83
P1 0.2500 0.2500 0.7130 [2 per cell]  6 Pd 2.34-2.43
Pd1 0.0029 0.2500 0.9326 [4 per cell]  1 P 2.34
Pd2 0.0143 0.7500 0.4979 [4 per cell]  1 P 2.35
Pd3 0.2500 0.0057 0.6027 [4 per cell]  1 P 2.43

Output
- Energy of formation: -5.64 eV/f.u.
- Size of the total moment: 0.0000 μB/atom